Model a:
# TaMnBe3 (PBE, relaxed)
# Density of states at the Fermi level, states/eV/f.u.: 3.824
data_TaMnBe3
_chemical_formula_sum 'Ta1 Mn1 Be3'
_cell_length_a 3.857
_cell_length_b 3.857
_cell_length_c 3.857
_cell_angle_alpha 90.00
_cell_angle_beta 90.00
_cell_angle_gamma 90.00
_space_group_name_H-M_alt 'P m -3 m'
_space_group_IT_number 221
_space_group_name_Hall '-P 4 2 3'
loop_
_atom_site_label
_atom_site_fract_x
_atom_site_fract_y
_atom_site_fract_z
Ta1 0.000 0.000 0.000
Mn1 0.500 0.500 0.500
Be1 0.000 0.500 0.500

***

Model b:
# TaMnBe3 (PBE, relaxed)
# Density of states at the Fermi level, states/eV/f.u.: 4.417
data_TaMnBe3
_chemical_formula_sum 'Ta1 Mn1 Be3'
_cell_length_a 4.415
_cell_length_b 4.415
_cell_length_c 4.415
_cell_angle_alpha 90.00
_cell_angle_beta 90.00
_cell_angle_gamma 90.00
_space_group_name_H-M_alt 'P m -3 m'
_space_group_IT_number 221
_space_group_name_Hall '-P 4 2 3'
loop_
_atom_site_label
_atom_site_fract_x
_atom_site_fract_y
_atom_site_fract_z
Ta1 0.000 0.000 0.000
Mn1 0.500 0.500 0.500
Be1 0.000 0.000 0.500

***

Name the least stable of them. model b.

***

Model a:
# TaMn3Be (PBE, relaxed)
# Density of states at the Fermi level, states/eV/f.u.: 3.931
data_TaMn3Be
_chemical_formula_sum 'Ta1 Mn3 Be1'
_cell_length_a 3.957
_cell_length_b 3.957
_cell_length_c 3.957
_cell_angle_alpha 90.00
_cell_angle_beta 90.00
_cell_angle_gamma 90.00
_space_group_name_H-M_alt 'P m -3 m'
_space_group_IT_number 221
_space_group_name_Hall '-P 4 2 3'
loop_
_atom_site_label
_atom_site_fract_x
_atom_site_fract_y
_atom_site_fract_z
Ta1 0.000 0.000 0.000
Mn1 0.000 0.500 0.500
Be1 0.500 0.500 0.500

***

Model b:
# TaMn3Be (PBE, relaxed)
# Density of states at the Fermi level, states/eV/f.u.: 4.431
data_TaMn3Be
_chemical_formula_sum 'Ta1 Mn3 Be1'
_cell_length_a 4.616
_cell_length_b 4.616
_cell_length_c 4.616
_cell_angle_alpha 90.00
_cell_angle_beta 90.00
_cell_angle_gamma 90.00
_space_group_name_H-M_alt 'P m -3 m'
_space_group_IT_number 221
_space_group_name_Hall '-P 4 2 3'
loop_
_atom_site_label
_atom_site_fract_x
_atom_site_fract_y
_atom_site_fract_z
Ta1 0.000 0.000 0.000
Mn1 0.000 0.000 0.500
Be1 0.500 0.500 0.500

***

Name the least stable of them. model b.

***

Model a:
# Ta3MnBe (PBE, relaxed)
# Density of states at the Fermi level, states/eV/f.u.: 3.668
data_Ta3MnBe
_chemical_formula_sum 'Ta3 Mn1 Be1'
_cell_length_a 4.548
_cell_length_b 4.548
_cell_length_c 4.548
_cell_angle_alpha 90.00
_cell_angle_beta 90.00
_cell_angle_gamma 90.00
_space_group_name_H-M_alt 'P m -3 m'
_space_group_IT_number 221
_space_group_name_Hall '-P 4 2 3'
loop_
_atom_site_label
_atom_site_fract_x
_atom_site_fract_y
_atom_site_fract_z
Ta1 0.000 0.000 0.500
Mn1 0.000 0.000 0.000
Be1 0.500 0.500 0.500

***

Model b:
# Ta3MnBe (PBE, relaxed)
# Density of states at the Fermi level, states/eV/f.u.: 11.146
data_Ta3MnBe
_chemical_formula_sum 'Ta3 Mn1 Be1'
_cell_length_a 4.346
_cell_length_b 4.346
_cell_length_c 4.346
_cell_angle_alpha 90.00
_cell_angle_beta 90.00
_cell_angle_gamma 90.00
_space_group_name_H-M_alt 'P m -3 m'
_space_group_IT_number 221
_space_group_name_Hall '-P 4 2 3'
loop_
_atom_site_label
_atom_site_fract_x
_atom_site_fract_y
_atom_site_fract_z
Ta1 0.000 0.000 0.500
Mn1 0.500 0.500 0.500
Be1 0.000 0.000 0.000

***

Name the least stable of them. model a.